(1)
This record from OQMD describes a relaxed structure of Zn2CdP2O8. The functional is PBE.

As for the total energy: -6.013 eV/atom.

a b c (Å): 5.049 5.273 6.466
angles (deg): 74.38 84.58 65.92
Space group P-1 (No. 2)
Symmetry-distinct sites (fractional):
Zn  0.211  0.255  0.181
Cd  0.500  0.500  0.500
P  0.149  0.125  0.728
O  0.123  0.340  0.863
O  0.151  0.885  0.290
O  0.243  0.251  0.503
O  0.367  0.820  0.829

***

(2)
This record from OQMD describes a relaxed structure of ZnCdPO. The functional is PBE.

For the excess energy over the best structure of this formula in the dataset, the calculation gives 337 meV per atom.

a b c (Å): 4.081 4.081 8.266
angles (deg): 90.00 90.00 90.00
Space group P4/nmm (No. 129, origin choice 2)
Symmetry-distinct sites (fractional):
Zn  0.250  0.750  0.000
Cd  0.250  0.250  0.398
P  0.250  0.250  0.837
O  0.250  0.750  0.500

***

(3)
This record from OQMD describes a relaxed structure of ZnCdPO. The functional is PBE.

For the excess energy over the best structure of this formula in the dataset, the calculation gives 209 meV per atom.

a b c (Å): 4.058 4.058 9.111
angles (deg): 90.00 90.00 90.00
Space group P4/nmm (No. 129, origin choice 2)
Symmetry-distinct sites (fractional):
Zn  0.250  0.250  0.049
Cd  0.250  0.750  0.500
P  0.250  0.250  0.318
O  0.250  0.750  0.000